1.
Here is crystalline NaNbVPd at its relaxed geometry from Alexandria via LeMat-Bulk. Energies are from PBE.

It has space group Cmm2 (No. 35), with a = 3.470 Å, b = 4.335 Å, c = 9.388 Å, α = 90.00°, β = 90.00° and γ = 90.00°. The inequivalent atoms are Na at (0.000, 0.000, 0.000), Nb at (0.000, 0.500, 0.681), V at (0.000, 0.000, 0.459) and Pd at (0.000, 0.500, 0.257).

For the formation energy, the calculation gives 2.34 kcal/mol of atoms. As for the total DFT energy (no corrections): -6.323 eV/atom. As for the energy above the lowest structure with this stoichiometry: 0.00 eV/f.u.

2.
Here is crystalline Na3NbPt at its relaxed geometry from Alexandria via LeMat-Bulk. Energies are from PBE.

It has space group Pm-3m (No. 221), with a = 5.612 Å, b = 5.612 Å, c = 5.612 Å, α = 90.00°, β = 90.00° and γ = 90.00°. The inequivalent atoms are Na at (0.000, 0.000, 0.500), Nb at (0.000, 0.000, 0.000) and Pt at (0.500, 0.500, 0.500).

For the formation energy, the calculation gives 38.61 kcal/mol of atoms. As for the total DFT energy (no corrections): -2.339 eV/atom. As for the energy above the lowest structure with this stoichiometry: 1.77 eV/f.u.

3.
Here is crystalline NaNb2Pt2 at its relaxed geometry from Alexandria via LeMat-Bulk. Energies are from PBE.

It has space group P4/mbm (No. 127), with a = 8.125 Å, b = 8.125 Å, c = 2.812 Å, α = 90.00°, β = 90.00° and γ = 90.00°. The inequivalent atoms are Na at (0.000, 0.000, 0.000), Nb at (0.161, 0.339, 0.500) and Pt at (0.132, 0.632, 0.000).

For the formation energy, the calculation gives -7.12 kcal/mol of atoms. As for the total DFT energy (no corrections): -7.017 eV/atom. As for the energy above the lowest structure with this stoichiometry: 0.19 eV/f.u.